{
  "formula": "GdMoO5",
  "functional": "GGA+U",
  "state": "relaxed",
  "lattice": [[12.732, 0.000, 0.000], [0.000, 5.402, 0.060], [0.000, 3.066, 6.307]],
  "species": ["Gd", "Gd", "Gd", "Gd", "Mo", "Mo", "Mo", "Mo", "O", "O", "O", "O", "O", "O", "O", "O", "O", "O", "O", "O", "O", "O", "O", "O", "O", "O", "O", "O"],
  "fractional_positions": [[0.940, 0.657, 0.717], [0.060, 0.343, 0.283], [0.440, 0.343, 0.783], [0.560, 0.657, 0.217], [0.636, 0.914, 0.646], [0.364, 0.086, 0.354], [0.136, 0.086, 0.854], [0.864, 0.914, 0.146], [0.555, 0.458, 0.987], [0.445, 0.542, 0.013], [0.055, 0.542, 0.513], [0.945, 0.458, 0.487], [0.076, 0.986, 0.659], [0.924, 0.014, 0.341], [0.576, 0.014, 0.841], [0.424, 0.986, 0.159], [0.559, 0.705, 0.544], [0.441, 0.295, 0.456], [0.059, 0.295, 0.956], [0.941, 0.705, 0.044], [0.763, 0.774, 0.732], [0.237, 0.226, 0.268], [0.263, 0.226, 0.768], [0.737, 0.774, 0.232], [0.342, 0.770, 0.581], [0.658, 0.230, 0.419], [0.842, 0.230, 0.919], [0.158, 0.770, 0.081]],
  "m_tot_mub_per_cell": 27.88,
  "dos_at_fermi_per_ev_cell": 0.0,
  "dft_energy_ev_per_cell": -245.184
}